Record 1
DFT (PBE) results for an optimized crystal structure of BeTe2IrN.

abc: 5.497 5.497 3.634
angles: 90.00 90.00 90.00
Space group P4/mmm (No. 123)
Unique sites:
Be  0.000  0.000  0.000 x1
Te  0.000  0.500  0.500 x2
Ir  0.500  0.500  0.500 x1
N  0.500  0.500  0.000 x1

Output
* formation energy from raw total energies: 0.693 eV/atom
* energy above the most stable polymorph in this dataset: 120 meV per atom



Record 2
DFT (PBE) results for an optimized crystal structure of MgZrMo.

abc: 3.432 4.762 14.426
angles: 90.00 90.00 90.00
Space group Fmm2 (No. 42)
Unique sites:
Mg  0.000  0.000  0.000 x4
Zr  0.000  0.000  0.691 x4
Mo  0.000  0.000  0.341 x4

Output
* energy above the most stable polymorph in this dataset: 213 meV per atom
* formation enthalpy at 0 K: 0.20 eV/atom



Record 3
DFT (PBE) results for an optimized crystal structure of Na2S.

abc: 7.173 4.315 8.417
angles: 90.00 90.00 90.00
Space group Pnma (No. 62)
Unique sites:
Na  0.023  0.250  0.166 x4
Na  0.144  0.250  0.573 x4
S  0.247  0.750  0.387 x4

Output
* formation energy from raw total energies: -1.030 eV/atom



Record 4
DFT (PBE) results for an optimized crystal structure of LaAlSe2Br.

abc: 5.063 5.063 4.961
angles: 90.00 90.00 90.00
Space group P4/mmm (No. 123)
Unique sites:
La  0.000  0.000  0.000 x1
Al  0.500  0.500  0.500 x1
Se  0.000  0.500  0.500 x2
Br  0.500  0.500  0.000 x1

Output
* formation energy from raw total energies: -1.002 eV/atom
* energy above the most stable polymorph in this dataset: 0 meV per atom



Record 5
DFT (PBE) results for an optimized crystal structure of ScZnRe.

abc: 2.793 4.084 8.697
angles: 90.00 90.00 90.00
Space group Imm2 (No. 44)
Unique sites:
Sc  0.000  0.000  0.000 x2
Zn  0.000  0.000  0.321 x2
Re  0.000  0.000  0.670 x2

Output
* energy above the most stable polymorph in this dataset: 2 meV per atom
* formation enthalpy at 0 K: 0.04 eV/atom



Record 6
DFT (PBE) results for an optimized crystal structure of ZrHg2Au.

abc: 3.232 3.298 8.036
angles: 90.00 90.00 90.00
Space group Pmm2 (No. 25)
Unique sites:
Zr  0.000  0.000  0.000 x1
Hg  0.000  0.000  0.469 x1
Hg  0.500  0.500  0.745 x1
Au  0.500  0.500  0.222 x1

Output
* energy above the most stable polymorph in this dataset: 0 meV per atom
* formation enthalpy at 0 K: -0.16 eV/atom